This record from the Alexandria database describes an optimized crystal structure of Li3Mg2Ag3. The functional is GGA-PBE.

Properties
The formation energy is -173 meV per atom. For the calculated volume, the calculation gives 591.6 Å³/cell. The calculation puts the total energy at -2.359 eV per atom. Its calculated density is 4.41 g/cm3. For the energy above the most stable polymorph in this dataset, the calculation gives 30 meV per atom.

Unit cell a=4.5121 b=7.8341 c=16.7362 alpha=90.00 beta=90.00 gamma=90.00
Space group Cmcm (No. 63)
Unique sites:
Li: 0.0000 0.1652 0.2500 x4
Li: 0.0000 0.1660 0.0345 x8
Mg: 0.0000 0.1687 0.6549 x8
Ag: 0.0000 0.4985 0.0828 x8
Ag: 0.0000 0.4983 0.2500 x4